[1]
A plane-wave DFT calculation with PBE was carried out for an optimized crystal structure of MgBiP2.

Energy of formation from the pure elements = -0.01 eV/atom
Space-group type = No. 122
D(E_F) = 7.15 states/eV/cell
Theoretical density = 4.309 g/cm3
Offset from the most stable computed form = 0.000 eV per atom

Lattice parameters (Å, degrees): 6.0367 6.0367 7.5642 66.48 66.48 90.00
Sites, in units of the cell vectors:
1 P 0.6014 0.1250 0.2500
2 P 0.1486 0.6250 0.2500
3 P 0.3750 0.3986 0.7500
4 P 0.8750 0.8514 0.7500
5 Mg 0.5000 0.5000 0.0000
6 Mg 0.2500 0.7500 0.5000
7 Bi 0.0000 0.0000 0.0000
8 Bi 0.7500 0.2500 0.5000

[2]
A plane-wave DFT calculation with PBE was carried out for an optimized crystal structure of MgBi2P2.

Energy of formation from the pure elements = 0.32 eV/atom
Space-group type = No. 139
D(E_F) = 1.82 states/eV/cell
Theoretical density = 5.990 g/cm3
Offset from the most stable computed form = 0.197 eV per atom

Lattice parameters (Å, degrees): 5.4381 5.4381 6.0931 63.50 63.50 90.00
Sites, in units of the cell vectors:
1 P 0.7500 0.2500 0.5000
2 P 0.2500 0.7500 0.5000
3 Mg 0.0000 0.0000 0.0000
4 Bi 0.3322 0.3322 0.3356
5 Bi 0.6678 0.6678 0.6644

[3]
A plane-wave DFT calculation with PBE was carried out for an optimized crystal structure of Mg2BiP.

Energy of formation from the pure elements = 0.03 eV/atom
Space-group type = No. 225
D(E_F) = 2.39 states/eV/cell
Theoretical density = 5.408 g/cm3

Lattice parameters (Å, degrees): 5.0041 5.0041 5.0041 60.00 60.00 60.00
Sites, in units of the cell vectors:
1 P 0.0000 0.0000 0.0000
2 Mg 0.2500 0.2500 0.2500
3 Mg 0.7500 0.7500 0.7500
4 Bi 0.5000 0.5000 0.5000

[4]
A plane-wave DFT calculation with PBE was carried out for an optimized crystal structure of MgBiP2.

Energy of formation from the pure elements = 0.21 eV/atom
Space-group type = No. 225
D(E_F) = 1.97 states/eV/cell
Theoretical density = 5.902 g/cm3
Offset from the most stable computed form = 0.220 eV per atom

Lattice parameters (Å, degrees): 4.8975 4.8975 4.8975 60.00 60.00 60.00
Sites, in units of the cell vectors:
1 P 0.2500 0.2500 0.2500
2 P 0.7500 0.7500 0.7500
3 Mg 0.0000 0.0000 0.0000
4 Bi 0.5000 0.5000 0.5000

[5]
A plane-wave DFT calculation with PBE was carried out for an optimized crystal structure of Mg6Bi3P.

Energy of formation from the pure elements = -0.26 eV/atom
Space-group type = No. 14
D(E_F) = 2.21 states/eV/cell
Theoretical density = 4.834 g/cm3

Lattice parameters (Å, degrees): 7.3692 7.1575 10.4687 90.00 90.02 90.00
Sites, in units of the cell vectors:
1 Mg 0.7343 0.1950 0.9034
2 Mg 0.6410 0.1731 0.5315
3 Mg 0.6221 0.4574 0.2666
4 Mg 0.3779 0.5426 0.7334
5 Mg 0.3590 0.8269 0.4685
6 Mg 0.2657 0.8050 0.0966
7 Mg 0.2343 0.3050 0.4034
8 Mg 0.1410 0.3269 0.0315
9 Mg 0.1221 0.0426 0.7666
10 Mg 0.8779 0.9574 0.2334
11 Mg 0.8590 0.6731 0.9685
12 Mg 0.7657 0.6950 0.5966
13 Bi 0.5073 0.9490 0.7463
14 Bi 0.5000 0.5000 0.0000
15 Bi 0.4927 0.0510 0.2537
16 Bi 0.0073 0.5510 0.2463
17 Bi 0.0000 0.0000 0.5000
18 Bi 0.9927 0.4490 0.7537
19 P 0.5000 0.5000 0.5000
20 P 0.0000 0.0000 0.0000

[6]
A plane-wave DFT calculation with PBE was carried out for an optimized crystal structure of Mg2BiP.

Energy of formation from the pure elements = -0.20 eV/atom
Space-group type = No. 122
D(E_F) = 2.47 states/eV/cell
Theoretical density = 5.103 g/cm3

Lattice parameters (Å, degrees): 7.7708 7.7708 6.3140 52.02 52.02 90.00
Sites, in units of the cell vectors:
1 P 0.5000 0.5000 0.0000
2 P 0.2500 0.7500 0.5000
3 Mg 0.5613 0.1250 0.2500
4 Mg 0.1887 0.6250 0.2500
5 Mg 0.3750 0.4387 0.7500
6 Mg 0.8750 0.8113 0.7500
7 Bi 0.0000 0.0000 0.0000
8 Bi 0.7500 0.2500 0.5000

[7]
A plane-wave DFT calculation with PBE was carried out for an optimized crystal structure of Mg4BiP2.

Energy of formation from the pure elements = 0.20 eV/atom
Space-group type = No. 139
D(E_F) = 6.01 states/eV/cell
Theoretical density = 3.116 g/cm3

Lattice parameters (Å, degrees): 5.5569 5.5569 7.4711 68.17 68.17 90.00
Sites, in units of the cell vectors:
1 P 0.5868 0.5868 0.8264
2 P 0.4132 0.4132 0.1736
3 Mg 0.7780 0.7780 0.4440
4 Mg 0.2220 0.2220 0.5560
5 Mg 0.0000 0.5000 0.0000
6 Mg 0.5000 0.0000 0.0000
7 Bi 0.0000 0.0000 0.0000

[8]
A plane-wave DFT calculation with PBE was carried out for an optimized crystal structure of MgBi2P2Pd7.

Energy of formation from the pure elements = -0.40 eV/atom
Space-group type = No. 12
D(E_F) = 5.62 states/eV/cell
Theoretical density = 9.527 g/cm3

Lattice parameters (Å, degrees): 4.0685 4.0685 13.7288 78.28 78.28 89.64
Sites, in units of the cell vectors:
1 Mg 0.0000 0.0000 0.0000
2 Bi 0.7413 0.7413 0.3749
3 Bi 0.2587 0.2587 0.6251
4 P 0.6658 0.6658 0.7571
5 P 0.3342 0.3342 0.2429
6 Pd 0.5000 0.5000 0.0000
7 Pd 0.2194 0.2194 0.4231
8 Pd 0.7806 0.7806 0.5769
9 Pd 0.8965 0.3965 0.1515
10 Pd 0.3965 0.8965 0.1515
11 Pd 0.6035 0.1035 0.8485
12 Pd 0.1035 0.6035 0.8485

[9]
A plane-wave DFT calculation with PBE was carried out for an optimized crystal structure of MgBiP2S.

Space-group type = No. 123
Uncorrected formation energy = 881.5 meV/atom
D(E_F) = 5.89 states/eV/cell
Theoretical density = 3.794 g/cm3
Offset from the most stable computed form = 0.346 eV per atom

Lattice parameters (Å, degrees): 5.2306 5.2306 5.2355 90.00 90.00 90.00
Sites, in units of the cell vectors:
1 Mg 0.5000 0.5000 0.5000
2 P 0.0000 0.5000 0.0000
3 P 0.5000 0.0000 0.0000
4 S 0.0000 0.0000 0.5000
5 Bi 0.0000 0.0000 0.0000

[10]
A plane-wave DFT calculation with PBE was carried out for an optimized crystal structure of MgBiP2S.

Space-group type = No. 123
Uncorrected formation energy = 535.4 meV/atom
D(E_F) = 4.88 states/eV/cell
Theoretical density = 4.841 g/cm3
Offset from the most stable computed form = 0.000 eV per atom

Lattice parameters (Å, degrees): 4.8310 4.8310 4.8104 90.00 90.00 90.00
Sites, in units of the cell vectors:
1 Mg 0.0000 0.0000 0.0000
2 P 0.0000 0.5000 0.0000
3 P 0.5000 0.0000 0.0000
4 S 0.0000 0.0000 0.5000
5 Bi 0.5000 0.5000 0.5000

[11]
A plane-wave DFT calculation with PBE was carried out for an optimized crystal structure of Mg2BiPSe.

Space-group type = No. 123
Uncorrected formation energy = 109.5 meV/atom
D(E_F) = 2.04 states/eV/cell
Theoretical density = 4.798 g/cm3

Lattice parameters (Å, degrees): 4.9797 5.1296 4.9797 90.00 90.00 90.00
Sites, in units of the cell vectors:
1 P 0.0000 0.5000 0.0000
2 Mg 0.0000 0.0000 0.5000
3 Mg 0.5000 0.0000 0.0000
4 Bi 0.5000 0.5000 0.5000
5 Se 0.0000 0.0000 0.0000

[12]
A plane-wave DFT calculation with PBE was carried out for an optimized crystal structure of Sr2MgBiP.

Energy of formation from the pure elements = -0.76 eV/atom
Space-group type = No. 123
D(E_F) = 0.55 states/eV/cell
Theoretical density = 4.398 g/cm3

Lattice parameters (Å, degrees): 5.8368 5.8368 4.8709 90.00 90.00 90.00
Sites, in units of the cell vectors:
1 Sr 0.0000 0.5000 0.0000
2 Sr 0.5000 0.0000 0.0000
3 Mg 0.0000 0.0000 0.5000
4 Bi 0.5000 0.5000 0.5000
5 P 0.0000 0.0000 0.0000